Record 1
Density functional theory data (PBE) for a relaxed structure of KTcW3.

CIF file:
```
data_KTcW3
_chemical_formula_sum 'K1 Tc1 W3'
_cell_length_a 4.854
_cell_length_b 4.854
_cell_length_c 4.854
_cell_angle_alpha 90.00
_cell_angle_beta 90.00
_cell_angle_gamma 90.00
_space_group_name_H-M_alt 'P m -3 m'
_space_group_IT_number 221
_space_group_name_Hall '-P 4 2 3'
loop_
_atom_site_label
_atom_site_type_symbol
_atom_site_fract_x
_atom_site_fract_y
_atom_site_fract_z
K1 K 0.000 0.000 0.000
Tc1 Tc 0.500 0.500 0.500
W1 W 0.000 0.500 0.500
```

Calculated formation energy = 2.066 eV per atom
Energy relative to the lowest polymorph listed for this composition = 0 meV per atom


Record 2
Density functional theory data (PBE) for a relaxed structure of ScCu2W2.

CIF file:
```
data_ScCu2W2
_chemical_formula_sum 'Sc2 Cu4 W4'
_cell_length_a 3.787
_cell_length_b 3.787
_cell_length_c 11.612
_cell_angle_alpha 90.00
_cell_angle_beta 90.00
_cell_angle_gamma 90.00
_space_group_name_H-M_alt 'I 4/m m m'
_space_group_IT_number 139
_space_group_name_Hall '-I 4 2'
loop_
_atom_site_label
_atom_site_type_symbol
_atom_site_fract_x
_atom_site_fract_y
_atom_site_fract_z
Sc1 Sc 0.000 0.000 0.000
Cu1 Cu 0.000 0.000 0.402
W1 W 0.000 0.500 0.250
```

Calculated formation energy = 0.297 eV per atom


Record 3
Density functional theory data (PBE) for a relaxed structure of CeSm8N6.

CIF file:
```
data_CeSm8N6
_chemical_formula_sum 'Ce3 Sm24 N18'
_cell_length_a 6.2374
_cell_length_b 6.2374
_cell_length_c 27.2892
_cell_angle_alpha 90.00
_cell_angle_beta 90.00
_cell_angle_gamma 120.00
_space_group_name_H-M_alt 'R -3'
_space_group_IT_number 148
_space_group_name_Hall '-R 3'
loop_
_atom_site_label
_atom_site_type_symbol
_atom_site_fract_x
_atom_site_fract_y
_atom_site_fract_z
Ce1 Ce 0.0000 0.0000 0.0000
Sm1 Sm 0.0000 0.0000 0.3334
Sm2 Sm 0.0001 0.3358 0.8975
N1 N 0.0001 0.3280 0.0560
```

Formation energy (no corrections) = -1.18 eV/atom


Record 4
Density functional theory data (PBE) for a relaxed structure of HoPaTl.

CIF file:
```
data_HoPaTl
_chemical_formula_sum 'Ho2 Pa2 Tl2'
_cell_length_a 3.107
_cell_length_b 3.107
_cell_length_c 17.466
_cell_angle_alpha 90.00
_cell_angle_beta 90.00
_cell_angle_gamma 90.00
_space_group_name_H-M_alt 'I 4 m m'
_space_group_IT_number 107
_space_group_name_Hall 'I 4 -2'
loop_
_atom_site_label
_atom_site_type_symbol
_atom_site_fract_x
_atom_site_fract_y
_atom_site_fract_z
Ho1 Ho 0.000 0.000 0.000
Pa1 Pa 0.000 0.000 0.832
Tl1 Tl 0.000 0.000 0.179
```

Calculated formation energy = 0.596 eV per atom


Record 5
Density functional theory data (PBE) for a relaxed structure of K2NpUS4.

CIF file:
```
data_K2NpUS4
_chemical_formula_sum 'K2 Np1 U1 S4'
_cell_length_a 7.033
_cell_length_b 4.061
_cell_length_c 7.757
_cell_angle_alpha 90.00
_cell_angle_beta 107.57
_cell_angle_gamma 90.00
_space_group_name_H-M_alt 'P 1 2/m 1'
_space_group_IT_number 10
loop_
_space_group_symop_operation_xyz
'x,y,z'
'-x,-y,-z'
'-x,y,-z'
'x,-y,z'
loop_
_atom_site_label
_atom_site_type_symbol
_atom_site_fract_x
_atom_site_fract_y
_atom_site_fract_z
K1 K 0.000 0.000 0.000
K2 K 0.500 0.500 0.000
Np1 Np 0.000 0.500 0.500
U1 U 0.500 0.000 0.500
S1 S 0.237 0.000 0.702
S2 S 0.268 0.500 0.297
```

Formation energy (no corrections) = -1.40 eV/atom


Record 6
Density functional theory data (PBE) for a relaxed structure of AcUCuS6.

CIF file:
```
data_AcUCuS6
_chemical_formula_sum 'Ac1 U1 Cu1 S6'
_cell_length_a 6.3233
_cell_length_b 6.3233
_cell_length_c 6.6551
_cell_angle_alpha 90.00
_cell_angle_beta 90.00
_cell_angle_gamma 120.00
_space_group_name_H-M_alt 'P 3 1 2'
_space_group_IT_number 149
loop_
_space_group_symop_operation_xyz
'x,y,z'
'-y,x-y,z'
'-x+y,-x,z'
'-y,-x,-z'
'-x+y,y,-z'
'x,x-y,-z'
loop_
_atom_site_label
_atom_site_type_symbol
_atom_site_fract_x
_atom_site_fract_y
_atom_site_fract_z
Ac1 Ac 0.0000 0.0000 0.0000
U1 U 0.3333 0.6667 0.5000
Cu1 Cu 0.6667 0.3333 0.5000
S1 S 0.3810 0.0117 0.7274
```

Formation energy (no corrections) = -0.94 eV/atom


Record 7
Density functional theory data (PBE) for a relaxed structure of CaYErAl.

CIF file:
```
data_CaYErAl
_chemical_formula_sum 'Ca4 Y4 Er4 Al4'
_cell_length_a 7.601
_cell_length_b 7.601
_cell_length_c 7.601
_cell_angle_alpha 90.00
_cell_angle_beta 90.00
_cell_angle_gamma 90.00
_space_group_name_H-M_alt 'F -4 3 m'
_space_group_IT_number 216
_space_group_name_Hall 'F -4 2 3'
loop_
_atom_site_label
_atom_site_type_symbol
_atom_site_fract_x
_atom_site_fract_y
_atom_site_fract_z
Ca1 Ca 0.000 0.000 0.000
Y1 Y 0.250 0.250 0.250
Er1 Er 0.250 0.250 0.750
Al1 Al 0.000 0.000 0.500
```

Calculated formation energy = -0.051 eV per atom


Record 8
Density functional theory data (PBE) for a relaxed structure of LiEuDyAu.

CIF file:
```
data_LiEuDyAu
_chemical_formula_sum 'Li4 Eu4 Dy4 Au4'
_cell_length_a 7.372
_cell_length_b 7.372
_cell_length_c 7.372
_cell_angle_alpha 90.00
_cell_angle_beta 90.00
_cell_angle_gamma 90.00
_space_group_name_H-M_alt 'F -4 3 m'
_space_group_IT_number 216
_space_group_name_Hall 'F -4 2 3'
loop_
_atom_site_label
_atom_site_type_symbol
_atom_site_fract_x
_atom_site_fract_y
_atom_site_fract_z
Li1 Li 0.000 0.000 0.000
Eu1 Eu 0.250 0.250 0.750
Dy1 Dy 0.250 0.250 0.250
Au1 Au 0.000 0.000 0.500
```

Calculated formation energy = -0.358 eV per atom


Here are the calculated D(E_F) numbers, same order: 7.03; 10.86; 33.72; 10.60; 14.59; 5.50; 11.70; 25.49 (states/eV/cell).
Here are the calculated total energy numbers, same order: -7.998; -7.789; -7.419; -4.884; -6.765; -5.856; -4.244; -5.375 (eV/atom).